(1)
Material: ScAgAsO
Method: DFT, GGA-PBE
State: relaxed

```
ScAgAsO
1.0
3.7649 0.0000 0.0000
0.0000 3.7649 0.0000
0.0000 0.0000 9.4949
Sc Ag As O
2 2 2 2
direct
0.2500 0.2500 0.1006
0.7500 0.7500 0.8994
0.2500 0.7500 0.5000
0.7500 0.2500 0.5000
0.2500 0.2500 0.7107
0.7500 0.7500 0.2893
0.2500 0.7500 0.0000
0.7500 0.2500 0.0000
```

The size of the total moment is 0.01 μB/cell. As for the space-group type: P4/nmm (129). Its excess energy over the best structure of this formula in the dataset is 0 kJ/mol of formula units.

***

(2)
Material: LuZnTc
Method: DFT, GGA-PBE
State: relaxed

```
LuZnTc
1.0
0.0000 3.1533 3.1533
3.1533 0.0000 3.1533
3.1533 3.1533 0.0000
Lu Zn Tc
1 1 1
direct
0.0000 0.0000 0.0000
0.5000 0.5000 0.5000
0.2500 0.2500 0.2500
```

The size of the total moment is 0.37 μB/cell. As for the space-group type: F-43m (216). The formation energy is 0.451 eV per atom. Its excess energy over the best structure of this formula in the dataset is 0 kJ/mol of formula units.

***

(3)
Material: AlAsAuO
Method: DFT, GGA-PBE
State: relaxed

```
AlAsAuO
1.0
4.2302 0.0000 0.0000
0.0000 4.2302 0.0000
0.0000 0.0000 8.6372
Al As Au O
2 2 2 2
direct
0.2500 0.7500 0.0000
0.7500 0.2500 0.0000
0.2500 0.2500 0.1679
0.7500 0.7500 0.8321
0.2500 0.2500 0.5550
0.7500 0.7500 0.4450
0.2500 0.7500 0.5000
0.7500 0.2500 0.5000
```

As for the space-group type: P4/nmm (129). Its excess energy over the best structure of this formula in the dataset is 375 kJ/mol of formula units.

***

(4)
Material: NdHo2Al3Cu2Ni
Method: DFT, GGA-PBE
State: relaxed

```
NdHo2Al3Cu2Ni
1.0
4.0142 0.0000 0.0000
0.0000 6.0658 3.5453
0.0000 -6.0658 3.5453
Nd Ho Al Cu Ni
1 2 3 2 1
direct
0.0000 0.0000 0.0000
0.0000 0.4133 0.8251
0.0000 0.8251 0.4133
0.5000 0.1868 0.4195
0.5000 0.4195 0.1868
0.5000 0.6412 0.6412
0.5000 0.0839 0.7412
0.5000 0.7412 0.0839
0.0000 0.4208 0.4208
```

The size of the total moment is 0.00 μB/cell. As for the space-group type: Amm2 (38).

***

(5)
Material: NbAuNO
Method: DFT, GGA-PBE
State: relaxed

```
NbAuNO
1.0
6.2656 0.0000 0.0000
0.0000 7.0235 0.0000
0.0000 0.0000 5.3612
Nb Au N O
4 4 4 4
direct
0.0867 0.1334 0.0000
0.4133 0.1334 0.5000
0.5867 0.8666 0.0000
0.9133 0.8666 0.5000
0.1582 0.7021 0.0085
0.3418 0.7021 0.5085
0.6582 0.2979 0.0085
0.8418 0.2979 0.5085
0.1044 0.0916 0.6370
0.3956 0.0916 0.1370
0.6044 0.9084 0.6370
0.8956 0.9084 0.1370
0.1039 0.3892 0.0561
0.3961 0.3892 0.5561
0.6039 0.6108 0.0561
0.8961 0.6108 0.5561
```

The size of the total moment is 0.00 μB/cell. As for the space-group type: Pca2_1 (29). Its excess energy over the best structure of this formula in the dataset is 83 kJ/mol of formula units.

***

(6)
Material: Hf2B2Au
Method: DFT, GGA-PBE
State: relaxed

```
Hf2B2Au
1.0
1.5716 -6.4704 0.0000
1.5716 6.4704 0.0000
0.0000 0.0000 3.4145
Hf B Au
2 2 1
direct
0.1443 0.8557 0.0000
0.8557 0.1443 0.0000
0.2795 0.7205 0.5000
0.7205 0.2795 0.5000
0.5000 0.5000 0.5000
```

The size of the total moment is 0.00 μB/cell. As for the space-group type: Cmmm (65).

***

(7)
Material: NaDyW
Method: DFT, GGA-PBE
State: relaxed

```
NaDyW
1.0
0.0000 3.3215 3.3215
3.3215 0.0000 3.3215
3.3215 3.3215 0.0000
Na Dy W
1 1 1
direct
0.0000 0.0000 0.0000
0.7500 0.7500 0.7500
0.2500 0.2500 0.2500
```

The size of the total moment is 0.65 μB/cell. As for the space-group type: F-43m (216). Its excess energy over the best structure of this formula in the dataset is 9 kJ/mol of formula units.

***

(8)
Material: LaPrAsO
Method: DFT, GGA-PBE
State: relaxed

```
LaPrAsO
1.0
4.3488 0.0000 0.0000
0.0000 8.2048 0.0000
0.0000 0.0000 6.0680
La Pr As O
2 2 2 2
direct
0.0000 0.1100 0.0000
0.0000 0.8900 0.5000
0.5000 0.3039 0.4406
0.5000 0.6961 0.9406
0.5000 0.3415 0.9364
0.5000 0.6585 0.4364
0.0000 0.1747 0.3841
0.0000 0.8253 0.8841
```

The size of the total moment is 1.07 μB/cell. As for the space-group type: Pmc2_1 (26). Its excess energy over the best structure of this formula in the dataset is 0 kJ/mol of formula units.

***

(9)
Material: LiTcAg
Method: DFT, GGA-PBE
State: relaxed

```
LiTcAg
1.0
0.0000 3.0741 3.0741
3.0741 0.0000 3.0741
3.0741 3.0741 0.0000
Li Tc Ag
1 1 1
direct
0.0000 0.0000 0.0000
0.5000 0.5000 0.5000
0.2500 0.2500 0.2500
```

The size of the total moment is 2.70 μB/cell. As for the space-group type: F-43m (216). Its excess energy over the best structure of this formula in the dataset is 0 kJ/mol of formula units.

***

(10)
Material: PaTaNO
Method: DFT, GGA-PBE
State: relaxed

```
PaTaNO
1.0
4.7895 0.0000 0.0000
0.0000 4.7895 0.0000
0.0000 0.0000 4.6241
Pa Ta N O
2 2 2 2
direct
0.2500 0.7500 0.0000
0.7500 0.2500 0.0000
0.2500 0.2500 0.4991
0.7500 0.7500 0.5009
0.2500 0.2500 0.9993
0.7500 0.7500 0.0007
0.2500 0.7500 0.5000
0.7500 0.2500 0.5000
```

The size of the total moment is 0.00 μB/cell. As for the space-group type: P4/nmm (129). Its excess energy over the best structure of this formula in the dataset is 183 kJ/mol of formula units.

***

(11)
Material: DyYAlNi2
Method: DFT, GGA-PBE
State: relaxed

```
DyYAlNi2
1.0
-2.0904 2.6950 4.1587
2.0904 -2.6950 4.1587
2.0904 2.6950 -4.1587
Dy Y Al Ni
1 1 1 2
direct
0.0000 0.0000 0.0000
0.4088 0.4088 0.0000
0.7044 0.2044 0.5000
0.4377 0.7044 0.7332
0.9712 0.7044 0.2668
```

The size of the total moment is 0.00 μB/cell. As for the space-group type: Imm2 (44).

***

(12)
Material: Tm3In3IrPt
Method: DFT, GGA-PBE
State: relaxed

```
Tm3In3IrPt
1.0
7.6345 0.0000 0.0000
-3.8173 6.6117 0.0000
0.0000 0.0000 3.5872
Tm In Ir Pt
3 3 1 1
direct
0.0911 0.7508 0.0000
0.2492 0.3403 0.0000
0.6597 0.9089 0.0000
0.4339 0.0988 0.5000
0.6649 0.5661 0.5000
0.9012 0.3351 0.5000
0.3333 0.6667 0.5000
0.0000 0.0000 0.5000
```

The size of the total moment is 0.02 μB/cell. As for the space-group type: P-6 (174).

***

no.,calculated total energy (eV/atom)
1,-6.15
2,-4.93
3,-4.08
4,-4.72
5,-7.26
6,-8.07
7,-4.41
8,-6.76
9,-3.97
10,-9.46
11,-5.74
12,-5.35